AlCoW2 PBE-GGA optimized geometry; E_form = 59 meV/atom
1.0
-0.228 4.192 -1.090
-3.711 2.181 0.533
-0.311 3.030 3.088
Al W Co
1 2 1
Direct
0.500 0.500 0.500 Al
0.250 0.250 0.250 W
0.000 0.000 0.000 W
0.750 0.750 0.750 Co



Entry from the Alexandria database: an optimized crystal structure of HoSbO3 (PBE-GGA).

```
HoSbO3
1.0
4.229 0.000 0.000
0.000 4.229 0.000
0.000 0.000 4.229
Sb O Ho
1 3 1
Direct
0.000 0.000 0.000 Sb
0.500 0.000 0.000 O
0.000 0.000 0.500 O
0.000 0.500 0.000 O
0.500 0.500 0.500 Ho
```



Looking at final energy for the records above, in order, we have -36.52 -30.82 eV per formula unit.